# NiOsCl2

A relaxed NiOsCl2 crystal (PBEsol, the Alexandria database).

Lattice parameters (Å, degrees): 2.9321 2.9321 22.0842 90.00 90.00 120.00
Space group R-3m (No. 166, hexagonal axes)
Inequivalent atoms, fractional coordinates:
Ni 0.0000 0.0000 0.0000 (multiplicity 3)
Os 0.0000 0.0000 0.5000 (multiplicity 3)
Cl 0.0000 0.0000 0.2589 (multiplicity 6)

## Properties
- uncorrected formation energy (kJ/mol of atoms) = 67.3
- total magnetic moment (μB per cell) = 0.00
- crystal system = trigonal

---

# Eu3NbO7

A relaxed Eu3NbO7 crystal (PBEsol, the Alexandria database).

Lattice parameters (Å, degrees): 10.728 7.306 7.637 90.00 90.00 90.00
Space group Cmcm (No. 63)
Inequivalent atoms, fractional coordinates:
Eu 0.000 0.000 0.000 (multiplicity 4)
Eu 0.230 0.291 0.250 (multiplicity 8)
Nb 0.000 0.500 0.000 (multiplicity 4)
O 0.000 0.427 0.250 (multiplicity 4)
O 0.128 0.305 0.535 (multiplicity 16)
O 0.131 0.023 0.250 (multiplicity 8)

## Properties
- uncorrected formation energy (kJ/mol of atoms) = -274.9
- total magnetic moment (μB per cell) = 72.00
- crystal system = orthorhombic

---

# YC5

A relaxed YC5 crystal (PBEsol, the Alexandria database).

Lattice parameters (Å, degrees): 4.6856 4.6856 2.5684 90.00 90.00 120.00
Space group P6/mmm (No. 191)
Inequivalent atoms, fractional coordinates:
Y 0.0000 0.0000 0.0000 (multiplicity 1)
C 0.0000 0.5000 0.5000 (multiplicity 3)
C 0.3333 0.6667 0.0000 (multiplicity 2)

## Properties
- total magnetic moment (μB per cell) = 0.00
- E_form (eV per atom) = 2.305
- crystal system = hexagonal

---

# ScMnH2Pt

A relaxed ScMnH2Pt crystal (PBEsol, the Alexandria database).

Lattice parameters (Å, degrees): 3.582 3.582 5.430 90.00 90.00 90.00
Space group P4/mmm (No. 123)
Inequivalent atoms, fractional coordinates:
Sc 0.000 0.000 0.000 (multiplicity 1)
Mn 0.000 0.000 0.500 (multiplicity 1)
H 0.000 0.500 0.000 (multiplicity 2)
Pt 0.500 0.500 0.500 (multiplicity 1)

## Properties
- total magnetic moment (μB per cell) = 3.97
- crystal system = tetragonal

---

So what do the calculations give for E? Going down the list: -4.90; -10.05; -6.87; -5.65 eV per atom.